{
  "formula": "Mn4Be3Ge3SO12",
  "functional": "PBE with a Hubbard U",
  "state": "relaxed",
  "lattice": [[8.5561, 0.0000, 0.0000], [0.0000, 8.5561, 0.0000], [0.0000, 0.0000, 8.5561]],
  "species": ["Mn", "Mn", "Mn", "Mn", "Mn", "Mn", "Mn", "Mn", "Be", "Be", "Be", "Be", "Be", "Be", "Ge", "Ge", "Ge", "Ge", "Ge", "Ge", "S", "S", "O", "O", "O", "O", "O", "O", "O", "O", "O", "O", "O", "O", "O", "O", "O", "O", "O", "O", "O", "O", "O", "O", "O", "O"],
  "frac_coords": [[0.1679, 0.1679, 0.1679], [0.1679, 0.8321, 0.8321], [0.3321, 0.3321, 0.6679], [0.3321, 0.6679, 0.3321], [0.6679, 0.3321, 0.3321], [0.6679, 0.6679, 0.6679], [0.8321, 0.1679, 0.8321], [0.8321, 0.8321, 0.1679], [0.0000, 0.2500, 0.5000], [0.0000, 0.7500, 0.5000], [0.2500, 0.5000, 0.0000], [0.5000, 0.0000, 0.2500], [0.5000, 0.0000, 0.7500], [0.7500, 0.5000, 0.0000], [0.0000, 0.5000, 0.2500], [0.0000, 0.5000, 0.7500], [0.2500, 0.0000, 0.5000], [0.5000, 0.2500, 0.0000], [0.5000, 0.7500, 0.0000], [0.7500, 0.0000, 0.5000], [0.0000, 0.0000, 0.0000], [0.5000, 0.5000, 0.5000], [0.0908, 0.3538, 0.6348], [0.0908, 0.6462, 0.3652], [0.1348, 0.1462, 0.4092], [0.1348, 0.8538, 0.5908], [0.1462, 0.4092, 0.1348], [0.1462, 0.5908, 0.8652], [0.3538, 0.3652, 0.9092], [0.3538, 0.6348, 0.0908], [0.3652, 0.0908, 0.6462], [0.3652, 0.9092, 0.3538], [0.4092, 0.1348, 0.1462], [0.4092, 0.8652, 0.8538], [0.5908, 0.1348, 0.8538], [0.5908, 0.8652, 0.1462], [0.6348, 0.0908, 0.3538], [0.6348, 0.9092, 0.6462], [0.6462, 0.3652, 0.0908], [0.6462, 0.6348, 0.9092], [0.8538, 0.4092, 0.8652], [0.8538, 0.5908, 0.1348], [0.8652, 0.1462, 0.5908], [0.8652, 0.8538, 0.4092], [0.9092, 0.3538, 0.3652], [0.9092, 0.6462, 0.6348]],
  "m_tot_mub_per_cell": 40.000,
  "vol_a3_per_atom": 13.617,
  "total_energy_ev_per_cell": -325.715,
  "sg": "P-43n, No. 218",
  "n_ef_per_ev_atom": 0.00
}